VASP calculation (PBE) on a relaxed structure of Tb3ErTe6.

Output
Formation energy (no corrections) = -1.342 eV/atom
Energy above the lowest structure with this stoichiometry = 0.008 eV/atom

Unit cell a=12.8119 b=12.8119 c=15.4862 alpha=90.00 beta=90.00 gamma=120.00
Space group R-3 (No. 148, hexagonal axes)
Symmetry-distinct sites (fractional):
Tb 0.0572 0.7823 0.2002 (multiplicity 18)
Er 0.0000 0.0000 0.0000 (multiplicity 3)
Er 0.0000 0.0000 0.5000 (multiplicity 3)
Te 0.0155 0.8078 0.3939 (multiplicity 18)
Te 0.0344 0.8378 0.8772 (multiplicity 18)



VASP calculation (PBE) on a relaxed structure of Li4InBi3.

Output
Energy relative to the elements = -0.36 eV/atom

Unit cell a=10.289 b=6.825 c=5.278 alpha=90.00 beta=90.00 gamma=90.00
Space group Pmma (No. 51)
Symmetry-distinct sites (fractional):
Li 0.000 0.248 0.000 (multiplicity 4)
Li 0.250 0.251 0.417 (multiplicity 4)
In 0.000 0.000 0.500 (multiplicity 2)
Bi 0.000 0.500 0.500 (multiplicity 2)
Bi 0.250 0.000 0.941 (multiplicity 2)
Bi 0.250 0.500 0.916 (multiplicity 2)



VASP calculation (PBE) on a relaxed structure of Ba2TlNiH6.

Output
E_tot = -34.94 eV per cell

Unit cell a=5.3536 b=5.3536 c=6.9844 alpha=90.00 beta=90.00 gamma=120.00
Space group P-3m1 (No. 164)
Symmetry-distinct sites (fractional):
Ba 0.3333 0.6667 0.2994 (multiplicity 2)
Tl 0.0000 0.0000 0.0000 (multiplicity 1)
Ni 0.0000 0.0000 0.5000 (multiplicity 1)
H 0.1409 0.2819 0.6284 (multiplicity 6)